This record from OQMD describes Lu2ScCu4Si2Ge2 after structural relaxation. The functional is PBE.

E above lowest polymorph in meV per atom: 0
Calculated volume in Å³/cell: 178.4
Space group: No. 71

a b c (Å): 7.775 7.775 7.775
angles (deg): 149.69 130.72 58.96
Fractional positions:
Lu 0.129 0.129 0.000
Lu 0.871 0.871 0.000
Sc 0.500 0.000 0.500
Cu 0.132 0.325 0.807
Cu 0.482 0.675 0.807
Cu 0.518 0.325 0.193
Cu 0.868 0.675 0.193
Si 0.286 0.786 0.500
Si 0.714 0.214 0.500
Ge 0.200 0.500 0.700
Ge 0.800 0.500 0.300